Record 1
Below is a relaxed BeTe2As crystal, with properties calculated at the PBE level.

extended XYZ file:
```
4
Lattice="2.679 0.000 7.272 -1.339 2.320 7.272 -1.339 -2.320 7.272" Properties=species:S:1:pos:R:3 pbc="T T T"
As 0.000 0.000 10.909
Te 0.000 0.000 2.261
Te 0.000 0.000 19.556
Be 0.000 0.000 0.000
```

distance to the lowest polymorph of the same formula = 370 meV/atom
formation energy from raw total energies = 414 meV/atom
symmetry = R-3m, No. 166

Record 2
Below is a relaxed AlPCl2 crystal, with properties calculated at the PBE level.

extended XYZ file:
```
4
Lattice="-2.255 -0.418 2.385 3.272 -0.231 0.435 0.455 10.841 2.330" Properties=species:S:1:pos:R:3 pbc="T T T"
Cl 0.413 9.841 2.115
Cl 0.270 6.421 1.380
Al 0.850 7.807 3.158
P 0.622 2.386 1.993
```

distance to the lowest polymorph of the same formula = 772 meV/atom
formation energy from raw total energies = 126 meV/atom
symmetry = Cmmm, No. 65

Total moment per entry: 0.00; 1.48 μB per cell